This record from Alexandria describes a relaxed structure of TlGa2Re2. The functional is PBE.

```
10
Lattice="8.205 0.000 0.000 0.000 8.205 0.000 0.000 0.000 2.781" Properties=species:S:1:pos:R:3 pbc="T T T"
Re 0.837 4.940 1.391
Re 4.940 7.368 1.391
Re 7.368 3.266 1.391
Re 3.266 0.837 1.391
Tl 0.000 0.000 0.000
Tl 4.103 4.103 0.000
Ga 2.612 6.714 0.000
Ga 6.714 5.594 0.000
Ga 5.594 1.491 0.000
Ga 1.491 2.612 0.000
```

Properties
spin magnetization: 0.00 μB/f.u.
energy relative to the elements: 0.529 eV per atom
relative energy among the computed polymorphs: 0.030 eV/f.u.